No. 1
DFT (GGA-PBE) results for Ba2CaMg3H12 after structural relaxation.

a = 6.8947 Å, b = 6.8947 Å, c = 16.7641 Å
α = 90.00°, β = 90.00°, γ = 120.00°
Space group R-3m (No. 166, hexagonal axes)
Symmetry-distinct sites (fractional):
Ba1 0.0000 0.0000 0.1095 (multiplicity 6)
Ca1 0.0000 0.0000 0.5000 (multiplicity 3)
Mg1 0.0000 0.5000 0.0000 (multiplicity 9)
H1 0.0371 0.5186 0.8835 (multiplicity 18)
H2 0.0589 0.5294 0.3063 (multiplicity 18)

=====

No. 2
DFT (GGA-PBE) results for Ba2NaCaH after structural relaxation.

Calculated values
The calculation puts the offset from the most stable computed form at 0.019 eV per atom.

a = 5.806 Å, b = 5.806 Å, c = 5.747 Å
α = 90.00°, β = 90.00°, γ = 90.00°
Space group P4/mmm (No. 123)
Symmetry-distinct sites (fractional):
Ba1 0.000 0.500 0.000 (multiplicity 2)
Na1 0.000 0.000 0.500 (multiplicity 1)
Ca1 0.500 0.500 0.500 (multiplicity 1)
H1 0.000 0.000 0.000 (multiplicity 1)

=====

No. 3
DFT (GGA-PBE) results for BaNa2CaH after structural relaxation.

a = 5.783 Å, b = 5.783 Å, c = 5.211 Å
α = 90.00°, β = 90.00°, γ = 90.00°
Space group P4/mmm (No. 123)
Symmetry-distinct sites (fractional):
Ba1 0.000 0.000 0.000 (multiplicity 1)
Na1 0.000 0.500 0.500 (multiplicity 2)
Ca1 0.500 0.500 0.000 (multiplicity 1)
H1 0.000 0.000 0.500 (multiplicity 1)

=====

No. 4
DFT (GGA-PBE) results for BaNaCa2H after structural relaxation.

Calculated values
The calculation puts the offset from the most stable computed form at 0.000 eV per atom.

a = 5.371 Å, b = 5.371 Å, c = 5.900 Å
α = 90.00°, β = 90.00°, γ = 90.00°
Space group P4/mmm (No. 123)
Symmetry-distinct sites (fractional):
Ba1 0.000 0.000 0.000 (multiplicity 1)
Na1 0.500 0.500 0.000 (multiplicity 1)
Ca1 0.000 0.500 0.500 (multiplicity 2)
H1 0.000 0.000 0.500 (multiplicity 1)

=====

No. 5
DFT (GGA-PBE) results for Ba2NaCaH after structural relaxation.

Calculated values
The calculation puts the offset from the most stable computed form at 0.000 eV per atom.

a = 6.222 Å, b = 6.222 Å, c = 4.988 Å
α = 90.00°, β = 90.00°, γ = 90.00°
Space group P4/mmm (No. 123)
Symmetry-distinct sites (fractional):
Ba1 0.000 0.500 0.000 (multiplicity 2)
Na1 0.000 0.000 0.500 (multiplicity 1)
Ca1 0.500 0.500 0.500 (multiplicity 1)
H1 0.500 0.500 0.000 (multiplicity 1)

=====

No. 6
DFT (GGA-PBE) results for BaNaCa2H after structural relaxation.

Calculated values
The calculation puts the offset from the most stable computed form at 0.108 eV per atom.

a = 5.206 Å, b = 5.206 Å, c = 6.514 Å
α = 90.00°, β = 90.00°, γ = 90.00°
Space group P4/mmm (No. 123)
Symmetry-distinct sites (fractional):
Ba1 0.000 0.000 0.000 (multiplicity 1)
Na1 0.500 0.500 0.000 (multiplicity 1)
Ca1 0.000 0.500 0.500 (multiplicity 2)
H1 0.500 0.500 0.500 (multiplicity 1)

=====

No. 7
DFT (GGA-PBE) results for BaCaNi2H8 after structural relaxation.

a = 4.3082 Å, b = 4.3082 Å, c = 9.0618 Å
α = 90.00°, β = 90.00°, γ = 120.00°
Space group P-3m1 (No. 164)
Symmetry-distinct sites (fractional):
Ba1 0.0000 0.0000 0.0000 (multiplicity 1)
Ca1 0.0000 0.0000 0.5000 (multiplicity 1)
Ni1 0.3333 0.6667 0.7240 (multiplicity 2)
H1 0.0083 0.5041 0.3676 (multiplicity 6)
H2 0.3333 0.6667 0.9031 (multiplicity 2)

=====

No. 8
DFT (GGA-PBE) results for Ba2CaNi3H12 after structural relaxation.

a = 6.4909 Å, b = 6.4909 Å, c = 15.1938 Å
α = 90.00°, β = 90.00°, γ = 120.00°
Space group R-3m (No. 166, hexagonal axes)
Symmetry-distinct sites (fractional):
Ba1 0.0000 0.0000 0.1093 (multiplicity 6)
Ca1 0.0000 0.0000 0.5000 (multiplicity 3)
Ni1 0.0000 0.5000 0.0000 (multiplicity 9)
H1 0.0230 0.5115 0.8968 (multiplicity 18)
H2 0.0888 0.5444 0.3250 (multiplicity 18)

=====

No. 9
DFT (GGA-PBE) results for BaCaP2H2O8 after structural relaxation.

a = 9.995 Å, b = 7.972 Å, c = 9.693 Å
α = 90.00°, β = 115.11°, γ = 90.00°
Space group P2_1/c (No. 14)
Symmetry-distinct sites (fractional):
Ba1 0.230 0.145 0.057 (multiplicity 4)
Ca1 0.276 0.640 0.213 (multiplicity 4)
P1 0.072 0.570 0.837 (multiplicity 4)
P2 0.498 0.741 0.576 (multiplicity 4)
H1 0.047 0.658 0.336 (multiplicity 4)
H2 0.490 0.531 0.875 (multiplicity 4)
O1 0.024 0.740 0.892 (multiplicity 4)
O2 0.076 0.525 0.257 (multiplicity 4)
O3 0.146 0.611 0.730 (multiplicity 4)
O4 0.172 0.025 0.482 (multiplicity 4)
O5 0.353 0.663 0.561 (multiplicity 4)
O6 0.362 0.139 0.829 (multiplicity 4)
O7 0.487 0.087 0.329 (multiplicity 4)
O8 0.493 0.715 0.918 (multiplicity 4)

=====

No. 10
DFT (GGA-PBE) results for Ba2CaH12Pd3 after structural relaxation.

a = 6.8738 Å, b = 6.8738 Å, c = 15.3154 Å
α = 90.00°, β = 90.00°, γ = 120.00°
Space group R-3m (No. 166, hexagonal axes)
Symmetry-distinct sites (fractional):
Ba1 0.0000 0.0000 0.1117 (multiplicity 6)
Ca1 0.0000 0.0000 0.5000 (multiplicity 3)
H1 0.0176 0.5088 0.8890 (multiplicity 18)
H2 0.0793 0.5397 0.3252 (multiplicity 18)
Pd1 0.0000 0.5000 0.0000 (multiplicity 9)

=====

No. 11
DFT (GGA-PBE) results for BaCaH6Pd2 after structural relaxation.

a = 9.294 Å, b = 9.154 Å, c = 6.512 Å
α = 90.00°, β = 97.78°, γ = 90.00°
Space group C2/c (No. 15)
Symmetry-distinct sites (fractional):
Ba1 0.000 0.128 0.250 (multiplicity 4)
Ca1 0.000 0.401 0.750 (multiplicity 4)
H1 0.056 0.383 0.096 (multiplicity 8)
H2 0.086 0.160 0.848 (multiplicity 8)
H3 0.249 0.485 0.351 (multiplicity 8)
Pd1 0.241 0.376 0.127 (multiplicity 8)

=====

No. 12
DFT (GGA-PBE) results for Ba2CaHPd after structural relaxation.

a = 5.577 Å, b = 5.577 Å, c = 4.751 Å
α = 90.00°, β = 90.00°, γ = 90.00°
Space group P4/mmm (No. 123)
Symmetry-distinct sites (fractional):
Ba1 0.000 0.500 0.000 (multiplicity 2)
Ca1 0.000 0.000 0.500 (multiplicity 1)
H1 0.000 0.000 0.000 (multiplicity 1)
Pd1 0.500 0.500 0.500 (multiplicity 1)

=====

No. 13
DFT (GGA-PBE) results for BaCaH6Pt2 after structural relaxation.

a = 9.334 Å, b = 8.901 Å, c = 7.116 Å
α = 90.00°, β = 110.75°, γ = 90.00°
Space group C2/c (No. 15)
Symmetry-distinct sites (fractional):
Ba1 0.000 0.110 0.250 (multiplicity 4)
Ca1 0.000 0.429 0.750 (multiplicity 4)
H1 0.042 0.357 0.064 (multiplicity 8)
H2 0.084 0.189 0.724 (multiplicity 8)
H3 0.240 0.428 0.369 (multiplicity 8)
Pt1 0.234 0.334 0.164 (multiplicity 8)

=====

No. 14
DFT (GGA-PBE) results for RbBa2CaH after structural relaxation.

a = 5.971 Å, b = 5.971 Å, c = 6.355 Å
α = 90.00°, β = 90.00°, γ = 90.00°
Space group P4/mmm (No. 123)
Symmetry-distinct sites (fractional):
Rb1 0.000 0.000 0.000 (multiplicity 1)
Ba1 0.000 0.500 0.500 (multiplicity 2)
Ca1 0.500 0.500 0.000 (multiplicity 1)
H1 0.000 0.000 0.500 (multiplicity 1)

=====

No. 15
DFT (GGA-PBE) results for BaCaReH2 after structural relaxation.

a = 4.204 Å, b = 4.204 Å, c = 5.311 Å
α = 90.00°, β = 90.00°, γ = 90.00°
Space group P4/mmm (No. 123)
Symmetry-distinct sites (fractional):
Ba1 0.000 0.000 0.000 (multiplicity 1)
Ca1 0.500 0.500 0.000 (multiplicity 1)
Re1 0.000 0.000 0.500 (multiplicity 1)
H1 0.000 0.500 0.500 (multiplicity 2)

=====

No. 16
DFT (GGA-PBE) results for Ba2CaH12Rh3 after structural relaxation.

a = 6.7511 Å, b = 6.7511 Å, c = 15.2067 Å
α = 90.00°, β = 90.00°, γ = 120.00°
Space group R-3m (No. 166, hexagonal axes)
Symmetry-distinct sites (fractional):
Ba1 0.0000 0.0000 0.1131 (multiplicity 6)
Ca1 0.0000 0.0000 0.5000 (multiplicity 3)
H1 0.0189 0.5095 0.8904 (multiplicity 18)
H2 0.0751 0.5375 0.3274 (multiplicity 18)
Rh1 0.0000 0.5000 0.0000 (multiplicity 9)

=====

No. 17
DFT (GGA-PBE) results for Ba2CaH6Rh after structural relaxation.

a = 5.7769 Å, b = 5.7769 Å, c = 6.0606 Å
α = 90.00°, β = 90.00°, γ = 120.00°
Space group P-3m1 (No. 164)
Symmetry-distinct sites (fractional):
Ba1 0.3333 0.6667 0.3368 (multiplicity 2)
Ca1 0.0000 0.0000 0.0000 (multiplicity 1)
H1 0.1396 0.2792 0.6704 (multiplicity 6)
Rh1 0.0000 0.0000 0.5000 (multiplicity 1)

=====

No. 18
DFT (GGA-PBE) results for Ba2CaH6Ru after structural relaxation.

a = 5.7474 Å, b = 5.7474 Å, c = 6.1164 Å
α = 90.00°, β = 90.00°, γ = 120.00°
Space group P-3m1 (No. 164)
Symmetry-distinct sites (fractional):
Ba1 0.3333 0.6667 0.1617 (multiplicity 2)
Ca1 0.0000 0.0000 0.5000 (multiplicity 1)
H1 0.1406 0.2813 0.8293 (multiplicity 6)
Ru1 0.0000 0.0000 0.0000 (multiplicity 1)

=====

No. 19
DFT (GGA-PBE) results for Ba3Ca2H5S2 after structural relaxation.

a = 4.467 Å, b = 4.467 Å, c = 26.628 Å
α = 90.00°, β = 90.00°, γ = 90.00°
Space group I4/mmm (No. 139)
Symmetry-distinct sites (fractional):
Ba1 0.000 0.000 0.000 (multiplicity 2)
Ba2 0.000 0.000 0.192 (multiplicity 4)
Ca1 0.000 0.000 0.413 (multiplicity 4)
H1 0.000 0.000 0.500 (multiplicity 2)
H2 0.000 0.500 0.068 (multiplicity 8)
S1 0.000 0.000 0.310 (multiplicity 4)

=====

Values for DFT total energy, eV per cell, ordered as above
-171.46, -10.90, -9.93, -10.98, -11.00, -10.44, -43.03, -207.13, -379.61, -203.64, -153.78, -15.36, -165.57, -10.19, -16.79, -227.94, -37.60, -39.51, -93.68